No. 1
# PBEsol Cd4InSi, relaxed
# Density of states at the Fermi level (states/eV per atom): 0.43
# Raw total energy (eV/cell): -47.03
# Formation energy from raw total energies (eV/atom): 0.29
data_Cd4InSi
_cell_length_a 8.082
_cell_length_b 8.082
_cell_length_c 8.082
_cell_angle_alpha 90.00
_cell_angle_beta 90.00
_cell_angle_gamma 90.00
_space_group_name_H-M_alt 'F -4 3 m'
_space_group_IT_number 216
_space_group_name_Hall 'F -4 2 3'
loop_
_atom_site_label
_atom_site_type_symbol
_atom_site_fract_x
_atom_site_fract_y
_atom_site_fract_z
_atom_site_occupancy
Cd1 Cd 0.125 0.125 0.125 1
In1 In 0.000 0.000 0.500 1
Si1 Si 0.250 0.250 0.750 1

No. 2
# PBEsol OsPtIN2, relaxed
# Density of states at the Fermi level (states/eV per atom): 0.86
# Raw total energy (eV/cell): -28.62
# Formation energy from raw total energies (eV/atom): 1.88
data_OsPtIN2
_cell_length_a 3.723
_cell_length_b 3.723
_cell_length_c 7.386
_cell_angle_alpha 90.00
_cell_angle_beta 90.00
_cell_angle_gamma 90.00
_space_group_name_H-M_alt 'P 4/m m m'
_space_group_IT_number 123
_space_group_name_Hall '-P 4 2'
loop_
_atom_site_label
_atom_site_type_symbol
_atom_site_fract_x
_atom_site_fract_y
_atom_site_fract_z
_atom_site_occupancy
Os1 Os 0.000 0.000 0.000 1
Pt1 Pt 0.500 0.500 0.500 1
I1 I 0.500 0.500 0.000 1
N1 N 0.000 0.500 0.500 1

No. 3
# PBEsol Gd3YO6, relaxed
# Density of states at the Fermi level (states/eV per atom): 0.00
# Raw total energy (eV/cell): -465.20
# Formation energy from raw total energies (eV/atom): -3.46
data_Gd3YO6
_cell_length_a 8.979
_cell_length_b 11.170
_cell_length_c 5.713
_cell_angle_alpha 90.00
_cell_angle_beta 90.00
_cell_angle_gamma 90.00
_space_group_name_H-M_alt 'C m c 21'
_space_group_IT_number 36
loop_
_space_group_symop_operation_xyz
'x,y,z'
'-x,-y,z+1/2'
'-x,y,z'
'x,-y,z+1/2'
'x+1/2,y+1/2,z'
'-x+1/2,-y+1/2,z+1/2'
'-x+1/2,y+1/2,z'
'x+1/2,-y+1/2,z+1/2'
loop_
_atom_site_label
_atom_site_type_symbol
_atom_site_fract_x
_atom_site_fract_y
_atom_site_fract_z
_atom_site_occupancy
Gd1 Gd 0.000 0.102 0.000 1
Gd2 Gd 0.200 0.388 0.944 1
Y1 Y 0.000 0.337 0.432 1
O1 O 0.000 0.277 0.791 1
O2 O 0.000 0.485 0.161 1
O3 O 0.161 0.241 0.231 1
O4 O 0.162 0.017 0.726 1

No. 4
# PBEsol TiSbRu, relaxed
# Density of states at the Fermi level (states/eV per atom): 1.69
# Raw total energy (eV/cell): -97.41
# Formation energy from raw total energies (eV/atom): -0.43
data_TiSbRu
_cell_length_a 6.081
_cell_length_b 6.081
_cell_length_c 6.081
_cell_angle_alpha 90.00
_cell_angle_beta 90.00
_cell_angle_gamma 90.00
_space_group_name_H-M_alt 'F -4 3 m'
_space_group_IT_number 216
_space_group_name_Hall 'F -4 2 3'
loop_
_atom_site_label
_atom_site_type_symbol
_atom_site_fract_x
_atom_site_fract_y
_atom_site_fract_z
_atom_site_occupancy
Ti1 Ti 0.000 0.000 0.000 1
Sb1 Sb 0.000 0.000 0.500 1
Ru1 Ru 0.250 0.250 0.750 1

No. 5
# PBEsol SiBr3, relaxed
# Density of states at the Fermi level (states/eV per atom): 0.44
# Raw total energy (eV/cell): -21.13
# Energy above the most stable polymorph in this dataset (meV/atom): 917
# Formation energy from raw total energies (eV/atom): 0.20
data_SiBr3
_cell_length_a 5.670
_cell_length_b 5.670
_cell_length_c 5.670
_cell_angle_alpha 90.00
_cell_angle_beta 90.00
_cell_angle_gamma 90.00
_space_group_name_H-M_alt 'P m -3 n'
_space_group_IT_number 223
_space_group_name_Hall '-P 4n 2 3'
loop_
_atom_site_label
_atom_site_type_symbol
_atom_site_fract_x
_atom_site_fract_y
_atom_site_fract_z
_atom_site_occupancy
Si1 Si 0.000 0.000 0.000 1
Br1 Br 0.000 0.250 0.500 1

No. 6
# PBEsol Y2PPb, relaxed
# Density of states at the Fermi level (states/eV per atom): 0.58
# Energy of formation (eV/atom): -0.90
# Raw total energy (eV/cell): -27.03
# Energy above the most stable polymorph in this dataset (meV/atom): 232
data_Y2PPb
_cell_length_a 3.454
_cell_length_b 3.531
_cell_length_c 7.852
_cell_angle_alpha 90.00
_cell_angle_beta 96.03
_cell_angle_gamma 90.00
_space_group_name_H-M_alt 'P 1 2/m 1'
_space_group_IT_number 10
loop_
_space_group_symop_operation_xyz
'x,y,z'
'-x,-y,-z'
'-x,y,-z'
'x,-y,z'
loop_
_atom_site_label
_atom_site_type_symbol
_atom_site_fract_x
_atom_site_fract_y
_atom_site_fract_z
_atom_site_occupancy
Y1 Y 0.070 0.000 0.292 1
P1 P 0.500 0.500 0.500 1
Pb1 Pb 0.500 0.500 0.000 1

No. 7
# PBEsol Li4CuSbO6, relaxed
# Raw total energy (eV/cell): -270.85
# Formation energy from raw total energies (eV/atom): -1.62
data_Li4CuSbO6
_cell_length_a 5.340
_cell_length_b 8.623
_cell_length_c 9.763
_cell_angle_alpha 90.00
_cell_angle_beta 96.55
_cell_angle_gamma 90.00
_space_group_name_H-M_alt 'C 1 2/c 1'
_space_group_IT_number 15
loop_
_space_group_symop_operation_xyz
'x,y,z'
'-x,-y,-z'
'-x,y,-z+1/2'
'x,-y,z+1/2'
'x+1/2,y+1/2,z'
'-x+1/2,-y+1/2,-z'
'-x+1/2,y+1/2,-z+1/2'
'x+1/2,-y+1/2,z+1/2'
loop_
_atom_site_label
_atom_site_type_symbol
_atom_site_fract_x
_atom_site_fract_y
_atom_site_fract_z
_atom_site_occupancy
Li1 Li 0.000 0.089 0.250 1
Li2 Li 0.239 0.068 0.998 1
Li3 Li 0.250 0.250 0.500 1
Cu1 Cu 0.000 0.421 0.250 1
Sb1 Sb 0.000 0.239 0.750 1
O1 O 0.099 0.420 0.636 1
O2 O 0.100 0.093 0.615 1
O3 O 0.143 0.266 0.147 1

No. 8
# PBEsol SiRu3F, relaxed
# Density of states at the Fermi level (states/eV per atom): 1.12
# Raw total energy (eV/cell): -32.14
# Formation energy from raw total energies (eV/atom): 1.21
data_SiRu3F
_cell_length_a 4.385
_cell_length_b 4.385
_cell_length_c 4.385
_cell_angle_alpha 90.00
_cell_angle_beta 90.00
_cell_angle_gamma 90.00
_space_group_name_H-M_alt 'P m -3 m'
_space_group_IT_number 221
_space_group_name_Hall '-P 4 2 3'
loop_
_atom_site_label
_atom_site_type_symbol
_atom_site_fract_x
_atom_site_fract_y
_atom_site_fract_z
_atom_site_occupancy
Si1 Si 0.000 0.000 0.000 1
Ru1 Ru 0.000 0.000 0.500 1
F1 F 0.500 0.500 0.500 1

No. 9
# PBEsol MgScBe4, relaxed
# Density of states at the Fermi level (states/eV per atom): 0.48
# Energy of formation (eV/atom): 0.02
# Raw total energy (eV/cell): -96.81
data_MgScBe4
_cell_length_a 6.640
_cell_length_b 6.640
_cell_length_c 6.640
_cell_angle_alpha 90.00
_cell_angle_beta 90.00
_cell_angle_gamma 90.00
_space_group_name_H-M_alt 'F -4 3 m'
_space_group_IT_number 216
_space_group_name_Hall 'F -4 2 3'
loop_
_atom_site_label
_atom_site_type_symbol
_atom_site_fract_x
_atom_site_fract_y
_atom_site_fract_z
_atom_site_occupancy
Mg1 Mg 0.000 0.000 0.000 1
Sc1 Sc 0.250 0.250 0.750 1
Be1 Be 0.122 0.122 0.378 1

No. 10
# PBEsol Ca2ZrCl, relaxed
# Density of states at the Fermi level (states/eV per atom): 1.36
# Raw total energy (eV/cell): -32.21
# Formation energy from raw total energies (eV/atom): -0.19
data_Ca2ZrCl
_cell_length_a 3.317
_cell_length_b 6.128
_cell_length_c 10.584
_cell_angle_alpha 90.00
_cell_angle_beta 90.00
_cell_angle_gamma 90.00
_space_group_name_H-M_alt 'I m m m'
_space_group_IT_number 71
_space_group_name_Hall '-I 2 2'
loop_
_atom_site_label
_atom_site_type_symbol
_atom_site_fract_x
_atom_site_fract_y
_atom_site_fract_z
_atom_site_occupancy
Ca1 Ca 0.000 0.000 0.209 1
Zr1 Zr 0.000 0.500 0.000 1
Cl1 Cl 0.000 0.500 0.500 1

No. 11
# PBEsol Ba5B20H4O38, relaxed
# Density of states at the Fermi level (states/eV per atom): 0.09
# Raw total energy (eV/cell): -526.37
data_Ba5B20H4O38
_cell_length_a 9.495
_cell_length_b 6.736
_cell_length_c 11.688
_cell_angle_alpha 90.00
_cell_angle_beta 94.97
_cell_angle_gamma 90.00
_space_group_name_H-M_alt 'P 1 2 1'
_space_group_IT_number 3
loop_
_space_group_symop_operation_xyz
'x,y,z'
'-x,y,-z'
loop_
_atom_site_label
_atom_site_type_symbol
_atom_site_fract_x
_atom_site_fract_y
_atom_site_fract_z
_atom_site_occupancy
Ba1 Ba 0.000 0.000 0.000 1
Ba2 Ba 0.380 0.769 0.827 1
Ba3 Ba 0.384 0.255 0.304 1
B1 B 0.043 0.235 0.688 1
B2 B 0.071 0.743 0.250 1
B3 B 0.237 0.216 0.848 1
B4 B 0.287 0.753 0.146 1
B5 B 0.289 0.251 0.642 1
B6 B 0.301 0.716 0.360 1
B7 B 0.320 0.445 0.010 1
B8 B 0.331 0.596 0.558 1
B9 B 0.345 0.949 0.520 1
B10 B 0.365 0.081 0.036 1
H1 H 0.103 0.774 0.674 1
H2 H 0.108 0.249 0.437 1
O1 O 0.000 0.419 0.000 1
O2 O 0.076 0.760 0.753 1
O3 O 0.084 0.216 0.803 1
O4 O 0.100 0.237 0.351 1
O5 O 0.130 0.742 0.147 1
O6 O 0.138 0.251 0.606 1
O7 O 0.147 0.736 0.353 1
O8 O 0.255 0.066 0.939 1
O9 O 0.270 0.416 0.897 1
O10 O 0.312 0.795 0.594 1
O11 O 0.325 0.166 0.755 1
O12 O 0.330 0.962 0.136 1
O13 O 0.332 0.641 0.046 1
O14 O 0.339 0.556 0.446 1
O15 O 0.343 0.461 0.645 1
O16 O 0.355 0.665 0.252 1
O17 O 0.362 0.142 0.554 1
O18 O 0.365 0.904 0.408 1
O19 O 0.369 0.292 0.079 1
O20 O 0.500 0.012 0.000 1

No. 12
# PBEsol ErInPd2, relaxed
# Density of states at the Fermi level (states/eV per atom): 0.49
# Energy of formation (eV/atom): -0.86
# Raw total energy (eV/cell): -93.03
data_ErInPd2
_cell_length_a 6.640
_cell_length_b 6.640
_cell_length_c 6.640
_cell_angle_alpha 90.00
_cell_angle_beta 90.00
_cell_angle_gamma 90.00
_space_group_name_H-M_alt 'F m -3 m'
_space_group_IT_number 225
_space_group_name_Hall '-F 4 2 3'
loop_
_atom_site_label
_atom_site_type_symbol
_atom_site_fract_x
_atom_site_fract_y
_atom_site_fract_z
_atom_site_occupancy
Er1 Er 0.000 0.000 0.000 1
In1 In 0.000 0.000 0.500 1
Pd1 Pd 0.250 0.250 0.250 1

| no. | total magnetization (μB/f.u.) |
| --- | --- |
| 1 | 0.00 |
| 2 | 1.63 |
| 3 | 21.00 |
| 4 | 0.00 |
| 5 | 0.00 |
| 6 | 0.00 |
| 7 | 0.00 |
| 8 | 3.70 |
| 9 | 0.00 |
| 10 | 0.03 |
| 11 | 2.01 |
| 12 | 0.00 |